Record 1
Na2CeMnO4 | GGA+U | relaxed

Cell lengths 5.978, 5.978, 11.568 Å; angles 90.00, 90.00, 147.46 degrees
Sites, in units of the cell vectors:
1 Na 0.126 0.874 0.529
2 Na 0.126 0.874 0.971
3 Na 0.874 0.126 0.029
4 Na 0.874 0.126 0.471
5 Ce 0.372 0.628 0.750
6 Ce 0.628 0.372 0.250
7 Mn 0.366 0.634 0.250
8 Mn 0.634 0.366 0.750
9 O 0.025 0.975 0.750
10 O 0.223 0.777 0.141
11 O 0.223 0.777 0.359
12 O 0.500 0.500 0.000
13 O 0.500 0.500 0.500
14 O 0.777 0.223 0.641
15 O 0.777 0.223 0.859
16 O 0.975 0.025 0.250

Summary:
Crystal system ... orthorhombic
Electronic total energy ... -6.3910 eV per atom
Calculated density ... 4.56 g/cm3

Record 2
Na3Ce3MnO8 | GGA+U | relaxed

Cell lengths 6.851, 6.851, 6.851 Å; angles 61.19, 61.19, 61.19 degrees
Sites, in units of the cell vectors:
1 Na 0.000 0.500 0.500
2 Na 0.500 0.000 0.500
3 Na 0.500 0.500 0.000
4 Ce 0.000 0.000 0.500
5 Ce 0.000 0.500 0.000
6 Ce 0.500 0.000 0.000
7 Mn 0.500 0.500 0.500
8 O 0.235 0.731 0.731
9 O 0.240 0.240 0.240
10 O 0.269 0.269 0.765
11 O 0.269 0.765 0.269
12 O 0.731 0.235 0.731
13 O 0.731 0.731 0.235
14 O 0.760 0.760 0.760
15 O 0.765 0.269 0.269

Summary:
Crystal system ... trigonal
Electronic total energy ... -7.1303 eV per atom
Calculated density ... 4.78 g/cm3

Record 3
NaCeMnWO6 | GGA+U | relaxed

Cell lengths 5.695, 5.695, 5.695 Å; angles 60.00, 60.00, 60.00 degrees
Sites, in units of the cell vectors:
1 Na 0.000 0.000 0.000
2 Ce 0.500 0.500 0.500
3 Mn 0.750 0.750 0.750
4 W 0.250 0.250 0.250
5 O 0.010 0.010 0.490
6 O 0.010 0.490 0.010
7 O 0.010 0.490 0.490
8 O 0.490 0.010 0.010
9 O 0.490 0.010 0.490
10 O 0.490 0.490 0.010

Summary:
Crystal system ... cubic
Electronic total energy ... -7.3561 eV per atom
Calculated density ... 6.33 g/cm3

Which value of electronic total energy does entry 2 give?
-7.1303 eV per atom

Which of these has the highest electronic total energy?
Na2CeMnO4

The lowest electronic total energy belongs to which entry?
NaCeMnWO6